Record 1
Entry from Alexandria: Sr2ScSi after structural relaxation (PBE-GGA).

Results
total magnetization = 0.0 μB per formula unit
SG = P2/m, No. 10
formation energy from raw total energies = 115 meV/atom

a b c (Å): 4.6117 3.7910 7.8818
angles (deg): 61.17 90.00 90.00
Positions (direct):
Sc 0.5000 0.2500 0.2500
Si 0.5000 0.7500 0.7500
Sr 0.0000 0.0234 0.9771
Sr 0.0000 0.4766 0.5229

---

Record 2
Entry from Alexandria: PmYTh2 after structural relaxation (PBE-GGA).

Results
formation energy from the elements = 265 meV/atom
ΔE to the lowest computed polymorph = 236.6 meV per atom
total magnetization = 0.0 μB per formula unit
SG = C2/c, No. 15

a b c (Å): 10.7507 10.7507 3.5488
angles (deg): 66.96 66.96 110.88
Positions (direct):
Pm 0.5000 0.0000 0.0000
Pm 0.0000 0.5000 0.5000
Y 0.0867 0.9133 0.7500
Y 0.9133 0.0867 0.2500
Th 0.5767 0.7429 0.6390
Th 0.4233 0.2571 0.3610
Th 0.2571 0.4233 0.8610
Th 0.7429 0.5767 0.1390

---

Record 3
Entry from Alexandria: CdInW after structural relaxation (PBE-GGA).

Results
formation energy from the elements = 520 meV/atom
ΔE to the lowest computed polymorph = 263.5 meV per atom
total magnetization = 0.0 μB per formula unit
SG = C2, No. 5

a b c (Å): 5.7685 4.9208 9.8250
angles (deg): 90.00 122.87 90.00
Positions (direct):
Cd 0.0000 0.8901 0.0000
Cd 0.0000 0.3901 0.5000
Cd 0.5000 0.5252 0.5000
Cd 0.5000 0.0252 0.0000
W 0.5179 0.5400 0.1915
W 0.4821 0.5400 0.8085
W 0.5179 0.0400 0.6915
W 0.4821 0.0400 0.3085
In 0.0238 0.9100 0.3477
In 0.9762 0.9100 0.6523
In 0.0238 0.4100 0.8477
In 0.9762 0.4100 0.1523

---

Record 4
Entry from Alexandria: ScZnAs2Ru after structural relaxation (PBE-GGA).

Results
formation energy from the elements = 141 meV/atom
total magnetization = 0.0 μB per formula unit
SG = P4/mmm, No. 123

a b c (Å): 4.7335 5.0144 4.7335
angles (deg): 90.00 90.00 90.00
Positions (direct):
Sc 0.0000 0.5000 0.0000
Ru 0.0000 0.0000 0.0000
As 0.0000 0.0000 0.5000
As 0.5000 0.0000 0.0000
Zn 0.5000 0.5000 0.5000

---

Record 5
Entry from Alexandria: BaCaMgNi2 after structural relaxation (PBE-GGA).

Results
formation energy from the elements = 575 meV/atom
total magnetization = 0.0 μB per formula unit
SG = P4/mmm, No. 123

a b c (Å): 4.9817 5.3217 4.9817
angles (deg): 90.00 90.00 90.00
Positions (direct):
Mg 0.0000 0.0000 0.0000
Ni 0.0000 0.0000 0.5000
Ni 0.5000 0.0000 0.0000
Ca 0.0000 0.5000 0.0000
Ba 0.5000 0.5000 0.5000

---

Record 6
Entry from Alexandria: SrIn2Fe after structural relaxation (PBE-GGA).

Results
formation energy from the elements = 388 meV/atom
total magnetization = 0.0 μB per formula unit
SG = Fm-3m, No. 225

a b c (Å): 5.0469 5.0469 5.0469
angles (deg): 60.00 60.00 60.00
Positions (direct):
Sr 0.5000 0.5000 0.5000
Fe 0.0000 0.0000 0.0000
In 0.2500 0.2500 0.2500
In 0.7500 0.7500 0.7500

---

no.,Fermi-level density of states (states/eV per cell)
1,2.76
2,14.30
3,5.58
4,4.17
5,5.77
6,9.77